Entry 1:
DFT (PBE) results for crystalline BaMn2Ag at its relaxed geometry.

## Properties
The total energy comes out at -19.871 eV per formula unit. Its energy of formation is 0.81 eV per atom. For the density of states at the Fermi level, the calculation gives 3.6 states/eV/f.u. As for the space group: P4/mmm, No. 123.

Cell and atoms, written as extended XYZ:
```
4
Lattice="5.052 0.000 0.000 0.000 5.052 0.000 0.000 0.000 3.637" Properties=species:S:1:pos:R:3 pbc="T T T"
Ba 0.000 0.000 0.000
Mn 0.000 2.526 1.819
Mn 2.526 0.000 1.819
Ag 2.526 2.526 0.000
```

=====

Entry 2:
DFT (PBE) results for crystalline BaMn2Ag at its relaxed geometry.

## Properties
The total energy comes out at -21.370 eV per formula unit. Its energy of formation is 0.44 eV per atom. For the density of states at the Fermi level, the calculation gives 2.5 states/eV/f.u. As for the space group: R-3m, No. 166.

Cell and atoms, written as extended XYZ:
```
4
Lattice="2.314 1.336 5.838 -2.314 1.336 5.838 0.000 -2.672 5.838" Properties=species:S:1:pos:R:3 pbc="T T T"
Ba 0.000 0.000 0.000
Mn 0.000 0.000 3.456
Mn 0.000 0.000 14.059
Ag 0.000 0.000 8.758
```

=====

Entry 3:
DFT (PBE) results for crystalline Ba3MnAg at its relaxed geometry.

## Properties
The total energy comes out at -15.581 eV per formula unit. Its energy of formation is 0.44 eV per atom. For the density of states at the Fermi level, the calculation gives 3.4 states/eV/f.u. The value obtained for the energy above the most stable polymorph in this dataset is 0 meV/atom. As for the space group: Pm-3m, No. 221.

Cell and atoms, written as extended XYZ:
```
5
Lattice="6.383 0.000 0.000 0.000 6.383 0.000 0.000 0.000 6.383" Properties=species:S:1:pos:R:3 pbc="T T T"
Ba 0.000 0.000 3.191
Ba 0.000 3.191 0.000
Ba 3.191 0.000 0.000
Mn 3.191 3.191 3.191
Ag 0.000 0.000 0.000
```

=====

Entry 4:
DFT (PBE) results for crystalline BaMnAg3 at its relaxed geometry.

## Properties
The total energy comes out at -9.898 eV per formula unit. Its energy of formation is 1.95 eV per atom. For the density of states at the Fermi level, the calculation gives 20.8 states/eV/f.u. The value obtained for the energy above the most stable polymorph in this dataset is 1730 meV/atom. As for the space group: Pm-3m, No. 221.

Cell and atoms, written as extended XYZ:
```
5
Lattice="5.887 0.000 0.000 0.000 5.887 0.000 0.000 0.000 5.887" Properties=species:S:1:pos:R:3 pbc="T T T"
Ba 0.000 0.000 0.000
Mn 2.944 2.944 2.944
Ag 0.000 0.000 2.944
Ag 0.000 2.944 0.000
Ag 2.944 0.000 0.000
```

=====

Entry 5:
DFT (PBE) results for crystalline BaMnAg at its relaxed geometry.

## Properties
The total energy comes out at -11.302 eV per formula unit. Its energy of formation is 0.88 eV per atom. For the density of states at the Fermi level, the calculation gives 3.5 states/eV/f.u. As for the space group: F-43m, No. 216.

Cell and atoms, written as extended XYZ:
```
3
Lattice="0.000 3.847 3.847 3.847 0.000 3.847 3.847 3.847 0.000" Properties=species:S:1:pos:R:3 pbc="T T T"
Ba 0.000 0.000 0.000
Mn 1.924 1.924 1.924
Ag 5.771 5.771 5.771
```

=====

Entry 6:
DFT (PBE) results for crystalline Ba2MnAg at its relaxed geometry.

## Properties
The total energy comes out at -14.774 eV per formula unit. Its energy of formation is 0.27 eV per atom. For the density of states at the Fermi level, the calculation gives 5.6 states/eV/f.u. The value obtained for the energy above the most stable polymorph in this dataset is 91 meV/atom. As for the space group: Fm-3m, No. 225.

Cell and atoms, written as extended XYZ:
```
4
Lattice="0.000 4.117 4.117 4.117 0.000 4.117 4.117 4.117 0.000" Properties=species:S:1:pos:R:3 pbc="T T T"
Ba 2.058 2.058 2.058
Ba 6.175 6.175 6.175
Mn 0.000 0.000 0.000
Ag 4.117 4.117 4.117
```

=====

Entry 7:
DFT (PBE) results for crystalline BaMn2Ag at its relaxed geometry.

## Properties
The total energy comes out at -21.320 eV per formula unit. Its energy of formation is 0.45 eV per atom. For the density of states at the Fermi level, the calculation gives 4.3 states/eV/f.u. As for the space group: R3m, No. 160.

Cell and atoms, written as extended XYZ:
```
4
Lattice="2.324 1.342 5.854 -2.324 1.342 5.854 0.000 -2.683 5.854" Properties=species:S:1:pos:R:3 pbc="T T T"
Ba 0.000 0.000 0.000
Mn 0.000 0.000 8.988
Mn 0.000 0.000 14.186
Ag 0.000 0.000 3.404
```

=====

Entry 8:
DFT (PBE) results for crystalline Ba2MnAg at its relaxed geometry.

## Properties
The total energy comes out at -14.854 eV per formula unit. Its energy of formation is 0.25 eV per atom. For the density of states at the Fermi level, the calculation gives 4.7 states/eV/f.u. The value obtained for the energy above the most stable polymorph in this dataset is 70 meV/atom. As for the space group: Imm2, No. 44.

Cell and atoms, written as extended XYZ:
```
4
Lattice="-2.050 2.763 6.115 2.050 -2.763 6.115 2.050 2.763 -6.115" Properties=species:S:1:pos:R:3 pbc="T T T"
Ba 0.000 0.000 0.000
Ba 0.000 2.763 2.571
Mn 2.050 0.000 3.501
Ag 0.000 0.000 5.290
```

=====

Entry 9:
DFT (PBE) results for crystalline BaMn2Ag at its relaxed geometry.

## Properties
The total energy comes out at -20.805 eV per formula unit. Its energy of formation is 0.58 eV per atom. For the density of states at the Fermi level, the calculation gives 4.3 states/eV/f.u. As for the space group: P4/mmm, No. 123.

Cell and atoms, written as extended XYZ:
```
4
Lattice="3.532 0.000 0.000 0.000 3.532 0.000 0.000 0.000 7.743" Properties=species:S:1:pos:R:3 pbc="T T T"
Ba 0.000 0.000 0.000
Mn 1.766 1.766 2.519
Mn 1.766 1.766 5.223
Ag 0.000 0.000 3.871
```

=====

Entry 10:
DFT (PBE) results for crystalline BaMnAg2 at its relaxed geometry.

## Properties
The total energy comes out at -15.302 eV per formula unit. Its energy of formation is 0.37 eV per atom. For the density of states at the Fermi level, the calculation gives 3.5 states/eV/f.u. The value obtained for the energy above the most stable polymorph in this dataset is 300 meV/atom. As for the space group: F-43m, No. 216.

Cell and atoms, written as extended XYZ:
```
4
Lattice="0.000 3.703 3.703 3.703 0.000 3.703 3.703 3.703 0.000" Properties=species:S:1:pos:R:3 pbc="T T T"
Ba 0.000 0.000 0.000
Mn 5.555 5.555 5.555
Ag 1.852 1.852 1.852
Ag 3.703 3.703 3.703
```

=====

Entry 11:
DFT (PBE) results for crystalline BaMnAg2 at its relaxed geometry.

## Properties
The total energy comes out at -15.615 eV per formula unit. Its energy of formation is 0.29 eV per atom. For the density of states at the Fermi level, the calculation gives 2.3 states/eV/f.u. The value obtained for the energy above the most stable polymorph in this dataset is 222 meV/atom. As for the space group: Fm-3m, No. 225.

Cell and atoms, written as extended XYZ:
```
4
Lattice="0.000 3.752 3.752 3.752 0.000 3.752 3.752 3.752 0.000" Properties=species:S:1:pos:R:3 pbc="T T T"
Ba 0.000 0.000 0.000
Mn 3.752 3.752 3.752
Ag 1.876 1.876 1.876
Ag 5.628 5.628 5.628
```

=====

Entry 12:
DFT (PBE) results for crystalline BaMnAg2 at its relaxed geometry.

## Properties
The total energy comes out at -15.275 eV per formula unit. Its energy of formation is 0.38 eV per atom. For the density of states at the Fermi level, the calculation gives 2.6 states/eV/f.u. The value obtained for the energy above the most stable polymorph in this dataset is 307 meV/atom. As for the space group: P4/mmm, No. 123.

Cell and atoms, written as extended XYZ:
```
4
Lattice="5.232 0.000 0.000 0.000 5.232 0.000 0.000 0.000 3.762" Properties=species:S:1:pos:R:3 pbc="T T T"
Ba 0.000 0.000 0.000
Mn 2.616 2.616 0.000
Ag 0.000 2.616 1.881
Ag 2.616 0.000 1.881
```

=====

Entry 13:
DFT (PBE) results for crystalline BaMnAg at its relaxed geometry.

## Properties
The total energy comes out at -12.456 eV per formula unit. Its energy of formation is 0.50 eV per atom. For the density of states at the Fermi level, the calculation gives 3.7 states/eV/f.u. As for the space group: F-43m, No. 216.

Cell and atoms, written as extended XYZ:
```
3
Lattice="0.000 3.692 3.692 3.692 0.000 3.692 3.692 3.692 0.000" Properties=species:S:1:pos:R:3 pbc="T T T"
Ba 0.000 0.000 0.000
Mn 3.692 3.692 3.692
Ag 1.846 1.846 1.846
```

=====

Entry 14:
DFT (PBE) results for crystalline BaMn3Ag at its relaxed geometry.

## Properties
The total energy comes out at -22.081 eV per formula unit. Its energy of formation is 2.04 eV per atom. For the density of states at the Fermi level, the calculation gives 1.9 states/eV/f.u. The value obtained for the energy above the most stable polymorph in this dataset is 1245 meV/atom. As for the space group: Pm-3m, No. 221.

Cell and atoms, written as extended XYZ:
```
5
Lattice="5.341 0.000 0.000 0.000 5.341 0.000 0.000 0.000 5.341" Properties=species:S:1:pos:R:3 pbc="T T T"
Ba 0.000 0.000 0.000
Mn 0.000 0.000 2.671
Mn 0.000 2.671 0.000
Mn 2.671 0.000 0.000
Ag 2.671 2.671 2.671
```

=====

Entry 15:
DFT (PBE) results for crystalline BaMnAg3 at its relaxed geometry.

## Properties
The total energy comes out at -18.549 eV per formula unit. Its energy of formation is 0.22 eV per atom. For the density of states at the Fermi level, the calculation gives 3.2 states/eV/f.u. The value obtained for the energy above the most stable polymorph in this dataset is 0 meV/atom. As for the space group: Pm-3m, No. 221.

Cell and atoms, written as extended XYZ:
```
5
Lattice="5.174 0.000 0.000 0.000 5.174 0.000 0.000 0.000 5.174" Properties=species:S:1:pos:R:3 pbc="T T T"
Ba 0.000 0.000 0.000
Mn 2.587 2.587 2.587
Ag 0.000 2.587 2.587
Ag 2.587 0.000 2.587
Ag 2.587 2.587 0.000
```